YCr2Fe2 | Alexandria | GGA-PBE | optimized geometry; total magnetic moment = 0.000 μB per cell; DOS(E_F) = 4.9 states/eV/cell; calculated formation energy = 56 meV/atom; energy above the most stable polymorph in this dataset = 0 meV per atom; SG = I4/mmm
1.0
-1.974 1.974 4.770
1.974 -1.974 4.770
1.974 1.974 -4.770
Y Cr Fe
1 2 2
Direct
0.000 0.000 0.000
0.250 0.750 0.500
0.750 0.250 0.500
0.370 0.370 0.000
0.630 0.630 0.000